Computed, not measured: LiFeSe2 after structural relaxation at the PBEsol level of DFT.

Cell and atoms, written as CIF:
```
data_LiFeSe2
_chemical_formula_sum 'Li3 Fe3 Se6'
_space_group_name_H-M_alt 'R -3 m'
_space_group_IT_number 166
_space_group_name_Hall '-R 3 2"'
_cell_length_a 3.5006
_cell_length_b 3.5006
_cell_length_c 22.1106
_cell_angle_alpha 90.00
_cell_angle_beta 90.00
_cell_angle_gamma 120.00
loop_
_atom_site_label
_atom_site_type_symbol
_atom_site_fract_x
_atom_site_fract_y
_atom_site_fract_z
Li1 Li 0.0000 0.0000 0.0000
Fe1 Fe 0.0000 0.0000 0.5000
Se1 Se 0.0000 0.0000 0.1096
```

**D(E_F)**: 15.68 states/eV per cell
**E_form (uncorrected)**: -0.384 eV/atom

Computed, not measured: SrLa after structural relaxation at the PBEsol level of DFT.

Cell and atoms, written as CIF:
```
data_SrLa
_chemical_formula_sum 'Sr2 La2'
_space_group_name_H-M_alt 'P 4/n m m'
_space_group_IT_number 129
_cell_length_a 3.829
_cell_length_b 3.829
_cell_length_c 11.391
_cell_angle_alpha 90.00
_cell_angle_beta 90.00
_cell_angle_gamma 90.00
loop_
_space_group_symop_operation_xyz
'x,y,z'
'-x,-y,-z'
'-y+1/2,x,z'
'y+1/2,-x,-z'
'-x+1/2,-y+1/2,z'
'x+1/2,y+1/2,-z'
'y,-x+1/2,z'
'-y,x+1/2,-z'
'x+1/2,-y,-z'
'-x+1/2,y,z'
'-y,-x,-z'
'y,x,z'
'-x,y+1/2,-z'
'x,-y+1/2,z'
'y+1/2,x+1/2,-z'
'-y+1/2,-x+1/2,z'
loop_
_atom_site_label
_atom_site_type_symbol
_atom_site_fract_x
_atom_site_fract_y
_atom_site_fract_z
Sr1 Sr 0.250 0.250 0.142
La1 La 0.250 0.250 0.602
```

**Formation energy**: 76.0 meV/atom
**D(E_F)**: 5.02 states/eV per cell
**Energy above the lowest structure with this stoichiometry**: 0.0 meV/atom

Computed, not measured: Ge19P4I4 after structural relaxation at the PBEsol level of DFT.

Cell and atoms, written as CIF:
```
data_Ge19P4I4
_chemical_formula_sum 'Ge38 P8 I8'
_space_group_name_H-M_alt 'P -4 3 n'
_space_group_IT_number 218
_space_group_name_Hall 'P -4n 2 3'
_cell_length_a 10.505
_cell_length_b 10.505
_cell_length_c 10.505
_cell_angle_alpha 90.00
_cell_angle_beta 90.00
_cell_angle_gamma 90.00
loop_
_atom_site_label
_atom_site_type_symbol
_atom_site_fract_x
_atom_site_fract_y
_atom_site_fract_z
Ge1 Ge 0.000 0.250 0.500
Ge2 Ge 0.001 0.119 0.693
Ge3 Ge 0.186 0.186 0.186
P1 P 0.184 0.184 0.816
I1 I 0.000 0.000 0.000
I2 I 0.000 0.500 0.250
```

**E_form (uncorrected)**: -0.130 eV/atom

| no. | calculated density (Mg/m³) |
| --- | --- |
| 1 | 4.69 |
| 2 | 4.50 |
| 3 | 5.76 |